! Li4CaPt (PBE-GGA, optimized geometry); values from VASP
&SYSTEM
  ibrav = 0, nat = 6, ntyp = 3
/
ATOMIC_SPECIES
Li 6.94 Li.upf
Ca 40.08 Ca.upf
Pt 195.08 Pt.upf
CELL_PARAMETERS angstrom
0.000 3.747 3.747
3.747 0.000 3.747
3.747 3.747 0.000
ATOMIC_POSITIONS angstrom
Li 4.659 2.836 4.659
Li 2.836 4.659 4.659
Ca 0.000 0.000 0.000
Li 4.659 4.659 2.836
Li 2.836 2.836 2.836
Pt 5.621 5.621 5.621
! * SG: F-43m (216)
! * excess energy over the best structure of this formula in the dataset: 132 meV/atom
! * energy of formation from the pure elements: -184 meV/atom

! Li3Pu4O12 (PBE-GGA, optimized geometry); values from VASP
&SYSTEM
  ibrav = 0, nat = 19, ntyp = 3
/
ATOMIC_SPECIES
Li 6.94 Li.upf
O 16.00 O.upf
Pu 244.00 Pu.upf
CELL_PARAMETERS angstrom
6.523 0.000 -2.306
-3.262 5.649 -2.306
0.000 0.000 6.919
ATOMIC_POSITIONS angstrom
Li -1.631 2.825 2.306
O -1.844 4.599 -0.018
O 2.630 1.050 0.574
O 5.106 1.050 2.324
O 0.200 1.752 2.288
Pu -1.631 2.825 -1.153
Li 1.631 2.825 -2.306
O 3.061 3.897 0.018
O 0.406 2.802 -0.574
O 2.856 2.847 2.880
Pu 0.000 0.000 3.459
Li 3.262 0.000 2.306
Pu 1.631 2.825 1.153
Pu 3.262 0.000 -1.153
O 1.618 0.703 4.631
O 4.299 1.752 -1.733
O -1.038 3.897 4.039
O 0.632 4.599 1.733
O 1.644 4.947 -2.324
! * SG: Im-3 (204)
! * formation energy without anion corrections: -48.766 eV per formula unit

! PmSi2Ge (PBE-GGA, optimized geometry); values from VASP
&SYSTEM
  ibrav = 0, nat = 4, ntyp = 3
/
ATOMIC_SPECIES
Si 28.09 Si.upf
Pm 145.00 Pm.upf
Ge 72.64 Ge.upf
CELL_PARAMETERS angstrom
-1.327 3.981 0.103
-3.406 -1.197 2.400
2.305 0.675 3.609
ATOMIC_POSITIONS angstrom
Si 1.153 0.338 1.804
Si -1.703 -0.599 1.200
Pm -1.214 1.730 3.056
Ge -0.663 1.991 0.051
! * SG: P4/mmm (123)
! * excess energy over the best structure of this formula in the dataset: 0 meV/atom
! * formation energy without anion corrections: -0.876 eV per formula unit

! CaCu2RhF8 (PBE-GGA, optimized geometry); values from VASP
&SYSTEM
  ibrav = 0, nat = 12, ntyp = 4
/
ATOMIC_SPECIES
F 19.00 F.upf
Ca 40.08 Ca.upf
Cu 63.55 Cu.upf
Rh 102.91 Rh.upf
CELL_PARAMETERS angstrom
5.402 0.000 0.000
0.000 5.402 0.000
-2.701 -2.701 5.331
ATOMIC_POSITIONS angstrom
F 0.832 4.285 1.837
Ca 2.701 0.000 2.665
F 1.585 1.869 3.493
F 1.763 1.169 0.774
Cu 0.000 2.701 2.665
F -0.832 1.116 1.837
Cu 2.701 2.701 0.000
Rh 0.000 0.000 0.000
F -1.532 0.937 4.557
F -1.585 3.533 3.493
F 3.638 4.233 0.774
F 1.532 -0.937 4.557
! * SG: I-4 (82)
! * formation energy without anion corrections: -23.075 eV per formula unit

! Cs2PuHgS4 (PBE-GGA, optimized geometry); values from VASP
&SYSTEM
  ibrav = 0, nat = 16, ntyp = 4
/
ATOMIC_SPECIES
Cs 132.91 Cs.upf
S 32.06 S.upf
Hg 200.59 Hg.upf
Pu 244.00 Pu.upf
CELL_PARAMETERS angstrom
6.500 0.000 0.000
3.250 7.458 0.000
3.250 0.000 12.697
ATOMIC_POSITIONS angstrom
Cs 6.500 0.000 4.566
S 6.546 2.200 7.642
Cs 3.250 0.000 8.131
Cs 8.125 3.729 1.782
S 4.921 1.529 1.293
Hg 3.250 0.000 0.000
Cs 8.125 3.729 10.915
S 11.421 5.929 11.404
Pu 8.125 3.729 6.349
Hg 4.875 3.729 6.349
S 4.830 5.929 1.293
S 9.705 5.258 7.642
S 6.546 5.258 5.056
Pu 0.000 0.000 0.000
S 4.830 1.529 11.404
S 3.205 2.200 5.056
! * SG: Fddd (70)
! * formation energy without anion corrections: -7.365 eV per formula unit

! Dy2AlS (PBE-GGA, optimized geometry); values from VASP
&SYSTEM
  ibrav = 0, nat = 8, ntyp = 3
/
ATOMIC_SPECIES
Al 26.98 Al.upf
Dy 162.50 Dy.upf
S 32.06 S.upf
CELL_PARAMETERS angstrom
4.148 0.000 0.000
0.000 3.892 -0.691
0.000 0.014 11.381
ATOMIC_POSITIONS angstrom
Al 1.037 1.814 10.211
Dy 3.111 3.617 9.063
S 1.037 0.761 4.287
Al 3.111 2.092 0.478
Dy 3.111 2.671 3.735
S 3.111 3.144 6.403
Dy 1.037 0.289 1.626
Dy 1.037 1.235 6.954
! * SG: Cmcm (63)
! * excess energy over the best structure of this formula in the dataset: 0 meV/atom
! * formation energy without anion corrections: -4.822 eV per formula unit

Q: Which calculated density values were calculated for the entries above? A: 4.15; 7.74; 5.76; 4.51; 4.52; 6.94, in g/cm3.